[1]
# Cd2HgRu (GGA-PBE, relaxed)
# DFT formation energy	1.2	eV/f.u.
data_Cd2HgRu
_chemical_formula_sum 'Cd4 Hg2 Ru2'
_cell_length_a 3.340
_cell_length_b 4.675
_cell_length_c 9.893
_cell_angle_alpha 90.00
_cell_angle_beta 90.00
_cell_angle_gamma 90.00
_symmetry_space_group_name_H-M 'I m m m'
_symmetry_Int_Tables_number 71
_symmetry_space_group_name_Hall '-I 2 2'
loop_
_atom_site_label
_atom_site_type_symbol
_atom_site_fract_x
_atom_site_fract_y
_atom_site_fract_z
_atom_site_occupancy
Cd1 Cd 0.000 0.000 0.229 1
Hg1 Hg 0.000 0.500 0.000 1
Ru1 Ru 0.000 0.500 0.500 1

[2]
# Nb4GaSe8 (GGA-PBE, relaxed)
# energy above the most stable polymorph in this dataset	69	meV per atom
data_Nb4GaSe8
_chemical_formula_sum 'Nb12 Ga3 Se24'
_cell_length_a 6.9963
_cell_length_b 6.9963
_cell_length_c 22.3024
_cell_angle_alpha 90.00
_cell_angle_beta 90.00
_cell_angle_gamma 120.00
_symmetry_space_group_name_H-M 'R -3 m'
_symmetry_Int_Tables_number 166
_symmetry_space_group_name_Hall '-R 3 2"'
loop_
_atom_site_label
_atom_site_type_symbol
_atom_site_fract_x
_atom_site_fract_y
_atom_site_fract_z
_atom_site_occupancy
Nb1 Nb 0.0000 0.0000 0.0000 1
Nb2 Nb 0.0000 0.5000 0.0000 1
Ga1 Ga 0.0000 0.0000 0.5000 1
Se1 Se 0.0000 0.0000 0.2580 1
Se2 Se 0.0005 0.5003 0.7425 1

[3]
# La15CeSm4 (GGA-PBE, relaxed)
# DFT formation energy	0.5	eV/f.u.
data_La15CeSm4
_chemical_formula_sum 'La15 Ce1 Sm4'
_cell_length_a 5.228
_cell_length_b 5.228
_cell_length_c 26.203
_cell_angle_alpha 90.00
_cell_angle_beta 90.00
_cell_angle_gamma 90.00
_symmetry_space_group_name_H-M 'P 4/m m m'
_symmetry_Int_Tables_number 123
_symmetry_space_group_name_Hall '-P 4 2'
loop_
_atom_site_label
_atom_site_type_symbol
_atom_site_fract_x
_atom_site_fract_y
_atom_site_fract_z
_atom_site_occupancy
La1 La 0.000 0.000 0.000 1
La2 La 0.000 0.000 0.200 1
La3 La 0.000 0.000 0.400 1
La4 La 0.000 0.500 0.097 1
La5 La 0.000 0.500 0.299 1
La6 La 0.000 0.500 0.500 1
Ce1 Ce 0.500 0.500 0.000 1
Sm1 Sm 0.500 0.500 0.199 1
Sm2 Sm 0.500 0.500 0.400 1

[4]
# GdTmBeOs (GGA-PBE, relaxed)
# DFT formation energy	-0.3	eV/f.u.
data_GdTmBeOs
_chemical_formula_sum 'Gd4 Tm4 Be4 Os4'
_cell_length_a 6.808
_cell_length_b 6.808
_cell_length_c 6.808
_cell_angle_alpha 90.00
_cell_angle_beta 90.00
_cell_angle_gamma 90.00
_symmetry_space_group_name_H-M 'F -4 3 m'
_symmetry_Int_Tables_number 216
_symmetry_space_group_name_Hall 'F -4 2 3'
loop_
_atom_site_label
_atom_site_type_symbol
_atom_site_fract_x
_atom_site_fract_y
_atom_site_fract_z
_atom_site_occupancy
Gd1 Gd 0.000 0.000 0.000 1
Tm1 Tm 0.000 0.000 0.500 1
Be1 Be 0.250 0.250 0.750 1
Os1 Os 0.250 0.250 0.250 1

[5]
# SrNb2TlZn (GGA-PBE, relaxed)
# DFT formation energy	11.1	eV/f.u.
data_SrNb2TlZn
_chemical_formula_sum 'Sr1 Nb2 Tl1 Zn1'
_cell_length_a 5.045
_cell_length_b 5.045
_cell_length_c 5.782
_cell_angle_alpha 90.00
_cell_angle_beta 90.00
_cell_angle_gamma 90.00
_symmetry_space_group_name_H-M 'P 4/m m m'
_symmetry_Int_Tables_number 123
_symmetry_space_group_name_Hall '-P 4 2'
loop_
_atom_site_label
_atom_site_type_symbol
_atom_site_fract_x
_atom_site_fract_y
_atom_site_fract_z
_atom_site_occupancy
Sr1 Sr 0.000 0.000 0.000 1
Nb1 Nb 0.000 0.500 0.000 1
Tl1 Tl 0.000 0.000 0.500 1
Zn1 Zn 0.500 0.500 0.500 1

[6]
# MnSeSCl2 (GGA-PBE, relaxed)
# energy above the most stable polymorph in this dataset	0	meV per atom
data_MnSeSCl2
_chemical_formula_sum 'Mn1 Se1 S1 Cl2'
_cell_length_a 4.554
_cell_length_b 4.554
_cell_length_c 4.497
_cell_angle_alpha 90.00
_cell_angle_beta 90.00
_cell_angle_gamma 90.00
_symmetry_space_group_name_H-M 'P 4/m m m'
_symmetry_Int_Tables_number 123
_symmetry_space_group_name_Hall '-P 4 2'
loop_
_atom_site_label
_atom_site_type_symbol
_atom_site_fract_x
_atom_site_fract_y
_atom_site_fract_z
_atom_site_occupancy
Mn1 Mn 0.000 0.000 0.000 1
Se1 Se 0.500 0.500 0.500 1
S1 S 0.000 0.000 0.500 1
Cl1 Cl 0.000 0.500 0.000 1

[7]
# BeTcAu2 (GGA-PBE, relaxed)
# DFT formation energy	0.9	eV/f.u.
data_BeTcAu2
_chemical_formula_sum 'Be2 Tc2 Au4'
_cell_length_a 2.716
_cell_length_b 4.621
_cell_length_c 9.491
_cell_angle_alpha 90.00
_cell_angle_beta 90.00
_cell_angle_gamma 90.00
_symmetry_space_group_name_H-M 'I m m 2'
_symmetry_Int_Tables_number 44
loop_
_symmetry_equiv_pos_as_xyz
'x,y,z'
'-x,-y,z'
'-x,y,z'
'x,-y,z'
'x+1/2,y+1/2,z+1/2'
'-x+1/2,-y+1/2,z+1/2'
'-x+1/2,y+1/2,z+1/2'
'x+1/2,-y+1/2,z+1/2'
loop_
_atom_site_label
_atom_site_type_symbol
_atom_site_fract_x
_atom_site_fract_y
_atom_site_fract_z
_atom_site_occupancy
Be1 Be 0.000 0.000 0.000 1
Tc1 Tc 0.000 0.500 0.709 1
Au1 Au 0.000 0.000 0.499 1
Au2 Au 0.000 0.500 0.291 1

[8]
# CsRbTlAs (GGA-PBE, relaxed)
# DFT formation energy	-0.5	eV/f.u.
# energy above the most stable polymorph in this dataset	72	meV per atom
data_CsRbTlAs
_chemical_formula_sum 'Cs4 Rb4 Tl4 As4'
_cell_length_a 8.405
_cell_length_b 8.405
_cell_length_c 8.405
_cell_angle_alpha 90.00
_cell_angle_beta 90.00
_cell_angle_gamma 90.00
_symmetry_space_group_name_H-M 'F -4 3 m'
_symmetry_Int_Tables_number 216
_symmetry_space_group_name_Hall 'F -4 2 3'
loop_
_atom_site_label
_atom_site_type_symbol
_atom_site_fract_x
_atom_site_fract_y
_atom_site_fract_z
_atom_site_occupancy
Cs1 Cs 0.000 0.000 0.000 1
Rb1 Rb 0.250 0.250 0.250 1
Tl1 Tl 0.250 0.250 0.750 1
As1 As 0.000 0.000 0.500 1